The following is a DFT calculation (PBE+U) of a relaxed FeAs2SeO crystal.

Values from the calculation:
The spin magnetization comes out at 3.88 μB/cell. As for the space group: P4/mmm, No. 123. For the relative energy among the computed polymorphs, the calculation gives 0 meV per atom.

```
FeAs2SeO
1.0
4.250 0.000 0.000
0.000 4.250 0.000
0.000 0.000 4.804
As O Se Fe
2 1 1 1
Direct
0.500 0.000 0.000 As
0.000 0.500 0.000 As
0.000 0.000 0.000 O
0.000 0.000 0.500 Se
0.500 0.500 0.500 Fe
```